Entry from Alexandria: a relaxed Nb2V2F crystal (GGA+U).

The structure belongs to space group P4/mbm (No. 127); the cell edges are 5.673, 5.673 and 5.165 Å and the angles 90.00°, 90.00° and 90.00°. The inequivalent atoms are Nb at (0.162, 0.338, 0.000), V at (0.159, 0.659, 0.500) and F at (0.000, 0.000, 0.500).

The value obtained for the polymorph energy (0 for the lowest one) is 0.0 meV per atom. Its uncorrected energy is -6.991 eV/atom.